Run A
! TbLu3, relaxed, DFT PBE; values from VASP
! - Density: 9.54 g cm⁻³
&SYSTEM
  ibrav = 0, nat = 4, ntyp = 2
/
ATOMIC_SPECIES
Tb 158.93 Tb.upf
Lu 174.97 Lu.upf
CELL_PARAMETERS angstrom
-2.461 2.461 4.912
2.461 -2.461 4.912
2.461 2.461 -4.912
ATOMIC_POSITIONS crystal
Tb 0.000 0.000 0.000
Lu 0.250 0.750 0.500
Lu 0.500 0.500 0.000
Lu 0.750 0.250 0.500

---

Run B
! TbLu3, relaxed, DFT PBE; values from VASP
! - Density: 9.46 g cm⁻³
&SYSTEM
  ibrav = 0, nat = 4, ntyp = 2
/
ATOMIC_SPECIES
Tb 158.93 Tb.upf
Lu 174.97 Lu.upf
CELL_PARAMETERS angstrom
3.549 0.000 0.000
0.000 5.506 0.000
0.000 0.000 6.144
ATOMIC_POSITIONS crystal
Tb 0.000 0.000 0.000
Lu 0.000 0.500 0.665
Lu 0.500 0.000 0.498
Lu 0.500 0.500 0.166

---

Least stable structure: run A

---

Run A
! Tb2Lu, relaxed, DFT PBE; values from VASP
! - Density: 8.84 g cm⁻³
&SYSTEM
  ibrav = 0, nat = 3, ntyp = 2
/
ATOMIC_SPECIES
Tb 158.93 Tb.upf
Lu 174.97 Lu.upf
CELL_PARAMETERS angstrom
-1.759 1.759 7.482
1.759 -1.759 7.482
1.759 1.759 -7.482
ATOMIC_POSITIONS crystal
Tb 0.165 0.165 0.000
Tb 0.835 0.835 0.000
Lu 0.500 0.500 0.000

---

Run B
! Tb2Lu, relaxed, DFT PBE; values from VASP
! - Density: 8.45 g cm⁻³
&SYSTEM
  ibrav = 0, nat = 6, ntyp = 2
/
ATOMIC_SPECIES
Tb 158.93 Tb.upf
Lu 174.97 Lu.upf
CELL_PARAMETERS angstrom
0.000 4.593 4.593
4.593 0.000 4.593
4.593 4.593 0.000
ATOMIC_POSITIONS crystal
Tb 0.000 0.000 0.000
Tb 0.000 0.000 0.500
Tb 0.000 0.500 0.000
Tb 0.500 0.000 0.000
Lu 0.375 0.375 0.375
Lu 0.625 0.625 0.625

---

Least stable structure: run B

---

Run A
! TbLu, relaxed, DFT PBE; values from VASP
! - Density: 9.00 g cm⁻³
&SYSTEM
  ibrav = 0, nat = 4, ntyp = 2
/
ATOMIC_SPECIES
Tb 158.93 Tb.upf
Lu 174.97 Lu.upf
CELL_PARAMETERS angstrom
3.580 0.000 0.000
0.000 5.550 0.000
0.000 0.000 6.197
ATOMIC_POSITIONS crystal
Tb 0.250 0.250 0.083
Tb 0.750 0.750 0.917
Lu 0.250 0.750 0.417
Lu 0.750 0.250 0.583

---

Run B
! TbLu, relaxed, DFT PBE; values from VASP
! - Density: 9.02 g cm⁻³
&SYSTEM
  ibrav = 0, nat = 2, ntyp = 2
/
ATOMIC_SPECIES
Tb 158.93 Tb.upf
Lu 174.97 Lu.upf
CELL_PARAMETERS angstrom
3.947 0.000 0.000
0.000 3.947 0.000
0.000 0.000 3.947
ATOMIC_POSITIONS crystal
Tb 0.000 0.000 0.000
Lu 0.500 0.500 0.500

---

Least stable structure: run B